# K2NaCaH, optimized geometry, DFT PBE-GGA
# Electronic total energy = -1.7535 eV per atom
data_K2NaCaH
_chemical_formula_sum 'K2 Na1 Ca1 H1'
_symmetry_space_group_name_H-M 'P 4/m m m'
_symmetry_Int_Tables_number 123
_symmetry_space_group_name_Hall '-P 4 2'
_cell_length_a 6.435
_cell_length_b 6.435
_cell_length_c 4.712
_cell_angle_alpha 90.00
_cell_angle_beta 90.00
_cell_angle_gamma 90.00
loop_
_atom_site_label
_atom_site_type_symbol
_atom_site_fract_x
_atom_site_fract_y
_atom_site_fract_z
K1 K 0.000 0.500 0.000
Na1 Na 0.000 0.000 0.500
Ca1 Ca 0.500 0.500 0.500
H1 H 0.500 0.500 0.000